# TmSi3Rh5, PBEsol geometry, DFT SCAN
data_TmSi3Rh5
_chemical_formula_sum 'Tm6 Si18 Rh30'
_symmetry_space_group_name_H-M 'P 1'
_symmetry_Int_Tables_number 1
_cell_length_a 3.815
_cell_length_b 15.373
_cell_length_c 15.373
_cell_angle_alpha 120.00
_cell_angle_beta 90.00
_cell_angle_gamma 90.00
loop_
_symmetry_equiv_pos_as_xyz
'x,y,z'
loop_
_atom_site_label
_atom_site_fract_x
_atom_site_fract_y
_atom_site_fract_z
_atom_site_occupancy
Rh1 0.250 0.027 0.138 1
Rh2 0.250 0.347 0.571 1
Rh3 0.750 0.154 0.740 1
Rh4 0.750 0.889 0.027 1
Rh5 0.250 0.414 0.154 1
Rh6 0.750 0.775 0.730 1
Rh7 0.250 0.730 0.955 1
Rh8 0.750 0.571 0.223 1
Rh9 0.250 0.925 0.463 1
Rh10 0.250 0.537 0.462 1
Rh11 0.250 0.862 0.889 1
Rh12 0.750 0.075 0.537 1
Rh13 0.250 0.111 0.973 1
Rh14 0.250 0.045 0.775 1
Rh15 0.250 0.740 0.586 1
Rh16 0.750 0.973 0.862 1
Rh17 0.750 0.586 0.846 1
Rh18 0.750 0.138 0.111 1
Rh19 0.750 0.270 0.045 1
Rh20 0.250 0.429 0.777 1
Rh21 0.750 0.260 0.414 1
Rh22 0.750 0.777 0.347 1
Rh23 0.750 0.653 0.429 1
Rh24 0.250 0.223 0.653 1
Rh25 0.250 0.225 0.270 1
Rh26 0.750 0.463 0.538 1
Rh27 0.750 0.462 0.925 1
Rh28 0.250 0.846 0.260 1
Rh29 0.250 0.538 0.075 1
Rh30 0.750 0.955 0.225 1
Tm1 0.250 0.100 0.395 1
Tm2 0.750 0.900 0.605 1
Tm3 0.250 0.294 0.900 1
Tm4 0.250 0.605 0.706 1
Tm5 0.750 0.706 0.100 1
Tm6 0.750 0.395 0.294 1
Si1 0.750 0.132 0.882 1
Si2 0.250 0.569 0.939 1
Si3 0.750 0.750 0.868 1
Si4 0.250 0.370 0.431 1
Si5 0.750 0.442 0.681 1
Si6 0.750 0.239 0.558 1
Si7 0.250 0.882 0.750 1
Si8 0.250 0.868 0.118 1
Si9 0.250 0.558 0.319 1
Si10 0.250 0.761 0.442 1
Si11 0.750 0.939 0.370 1
Si12 0.750 0.118 0.250 1
Si13 0.250 0.250 0.132 1
Si14 0.750 0.319 0.761 1
Si15 0.750 0.630 0.569 1
Si16 0.250 0.681 0.239 1
Si17 0.750 0.431 0.061 1
Si18 0.250 0.061 0.630 1
# Formation energy (no corrections)   -1.100 eV/atom
# Energy   -1563.8 eV per cell
# Spin magnetization   0.00 μB per formula unit
# DOS at the Fermi energy   3.45 states/eV/f.u.